No. 1
Here is Zn2GaBiCl after structural relaxation from the Alexandria database. Energies are from PBE-GGA.

Values from the calculation:
* E_form (uncorrected): 0.534 eV/atom
* theoretical density: 4.98 g/cm3
* N(E_F): 3.0 states/eV per cell
* V: 148.5 Å³ per cell
* total magnetization: 0.0 μB/cell

a = 5.2210 Å, b = 5.2210 Å, c = 5.4479 Å
α = 90.00°, β = 90.00°, γ = 90.00°
Last column: nearest neighbours and their distance in Å.
Space group P4/mmm (No. 123)
Symmetry-distinct sites (fractional):
Zn: 0.0000 0.5000 0.0000 x2  2 Cl 2.61
Ga: 0.0000 0.0000 0.5000 x1  4 Bi 3.69, 8 Zn 3.77
Bi: 0.5000 0.5000 0.5000 x1  2 Cl 2.72
Cl: 0.5000 0.5000 0.0000 x1  4 Zn 2.61, 2 Bi 2.72

No. 2
Here is Gd2BiCl after structural relaxation from the Alexandria database. Energies are from PBE-GGA.

Values from the calculation:
* E_form (uncorrected): -1.082 eV/atom
* theoretical density: 8.34 g/cm3
* N(E_F): 13.7 states/eV per cell
* V: 333.9 Å³ per cell
* total magnetization: 42.2 μB/cell

a = 4.3669 Å, b = 4.3669 Å, c = 20.2179 Å
α = 90.00°, β = 90.00°, γ = 120.00°
Last column: nearest neighbours and their distance in Å.
Space group R-3m (No. 166, hexagonal axes)
Symmetry-distinct sites (fractional):
Gd: 0.0000 0.0000 0.2401 x6  3 Cl 2.93, 3 Bi 3.15
Bi: 0.0000 0.0000 0.0000 x3  6 Gd 3.15
Cl: 0.0000 0.0000 0.5000 x3  6 Gd 2.93

No. 3
Here is GdBi2ClO4 after structural relaxation from the Alexandria database. Energies are from PBE-GGA.

Values from the calculation:
* E_form (uncorrected): -2.009 eV/atom
* theoretical density: 7.99 g/cm3
* V: 140.2 Å³ per cell
* total magnetization: 7.0 μB/cell

a = 3.9220 Å, b = 3.9220 Å, c = 9.1141 Å
α = 90.00°, β = 90.00°, γ = 90.00°
Last column: nearest neighbours and their distance in Å.
Space group P4/mmm (No. 123)
Symmetry-distinct sites (fractional):
Gd: 0.0000 0.0000 0.0000 x1  8 O 2.42
Bi: 0.5000 0.5000 0.2785 x2  4 O 2.26
Cl: 0.0000 0.0000 0.5000 x1  8 Bi 3.43, 8 O 3.70
O: 0.0000 0.5000 0.1559 x4  2 Bi 2.26, 2 Gd 2.42

No. 4
Here is GeBi2Cl after structural relaxation from the Alexandria database. Energies are from PBE-GGA.

Values from the calculation:
* E_form (uncorrected): 0.106 eV/atom
* offset from the most stable computed form: 0.1172 eV/atom
* theoretical density: 5.97 g/cm3
* N(E_F): 7.8 states/eV per cell
* V: 585.4 Å³ per cell
* total magnetization: 0.0 μB/cell

a = 7.2844 Å, b = 7.2844 Å, c = 11.0320 Å
α = 90.00°, β = 90.00°, γ = 90.00°
Last column: nearest neighbours and their distance in Å.
Space group I-42d (No. 122)
Symmetry-distinct sites (fractional):
Ge: 0.0000 0.0000 0.0000 x4  4 Bi 2.80
Bi: 0.2226 0.2500 0.1250 x8  2 Ge 2.80, 2 Cl 3.05
Cl: 0.0000 0.0000 0.5000 x4  4 Bi 3.05

- Which value of total magnetization does entry 4 give?
  0.0 μB/cell